# 1
Material: ReAgPO
Method: DFT, PBE-GGA
State: relaxed

Output
- M_tot (μB/cell) = 0.07
- energy above the most stable polymorph in this dataset (meV/atom) = 608
- crystal system = tetragonal

Unit cell a=4.077 b=4.077 c=7.446 alpha=90.00 beta=90.00 gamma=90.00
Atoms (fractional coordinates):
Re 0.250 0.750 0.000
Re 0.750 0.250 0.000
Ag 0.250 0.250 0.403
Ag 0.750 0.750 0.597
P 0.250 0.250 0.842
P 0.750 0.750 0.158
O 0.250 0.750 0.500
O 0.750 0.250 0.500

# 2
Material: LiYSiPd
Method: DFT, PBE-GGA
State: relaxed

Output
- M_tot (μB/cell) = 0.00
- energy above the most stable polymorph in this dataset (meV/atom) = 0
- crystal system = cubic

Unit cell a=4.562 b=4.562 c=4.562 alpha=60.00 beta=60.00 gamma=60.00
Atoms (fractional coordinates):
Li 0.000 0.000 0.000
Y 0.750 0.750 0.750
Si 0.250 0.250 0.250
Pd 0.500 0.500 0.500

# 3
Material: SnAu15
Method: DFT, PBE-GGA
State: relaxed

Output
- energy above the most stable polymorph in this dataset (meV/atom) = 30
- crystal system = monoclinic

Unit cell a=8.257 b=2.934 c=37.163 alpha=90.00 beta=90.02 gamma=90.00
Atoms (fractional coordinates):
Sn 0.125 0.250 0.198
Sn 0.875 0.750 0.802
Au 0.121 0.250 0.760
Au 0.122 0.250 0.678
Au 0.124 0.250 0.598
Au 0.125 0.250 0.281
Au 0.125 0.250 0.361
Au 0.125 0.250 0.441
Au 0.125 0.250 0.519
Au 0.372 0.750 0.240
Au 0.373 0.750 0.322
Au 0.375 0.750 0.401
Au 0.375 0.750 0.480
Au 0.375 0.750 0.559
Au 0.375 0.750 0.637
Au 0.375 0.750 0.716
Au 0.375 0.750 0.794
Au 0.625 0.250 0.206
Au 0.625 0.250 0.284
Au 0.625 0.250 0.363
Au 0.625 0.250 0.441
Au 0.625 0.250 0.520
Au 0.625 0.250 0.599
Au 0.627 0.250 0.678
Au 0.628 0.250 0.760
Au 0.875 0.750 0.481
Au 0.875 0.750 0.559
Au 0.875 0.750 0.639
Au 0.875 0.750 0.719
Au 0.876 0.750 0.402
Au 0.878 0.750 0.322
Au 0.879 0.750 0.240

- Look up the energy above the most stable polymorph in this dataset of the first one.
  608 meV/atom